Density functional theory data (PBE) for an optimized crystal structure of Cs3Ac2NdSe6.

The space group is C2/m (No. 12) and the conventional cell measures 7.905, 13.689 and 8.829 Å, with angles of 90.00, 107.38 and 90.00 degrees. The inequivalent atoms are Cs at (0.000, 0.000, 0.000), Cs at (0.000, 0.332, 0.000), Ac at (0.000, 0.167, 0.500), Nd at (0.000, 0.500, 0.500), Se at (0.226, 0.339, 0.694) and Se at (0.242, 0.000, 0.694).

The total DFT energy (no corrections) is -4.815 eV/atom. As for the formation energy without anion corrections: -21.3 eV per formula unit.


Density functional theory data (PBE) for an optimized crystal structure of Cs4Ac3NdTe8.

The space group is R-3m (No. 166, hexagonal axes) and the conventional cell measures 9.7029, 9.7029 and 26.9411 Å, with angles of 90.00, 90.00 and 120.00 degrees. The inequivalent atoms are Cs at (0.0000, 0.0000, 0.0000), Cs at (0.0000, 0.5000, 0.0000), Ac at (0.0000, 0.5000, 0.5000), Nd at (0.0000, 0.0000, 0.5000), Te at (0.0000, 0.0000, 0.2346) and Te at (0.0101, 0.5050, 0.2329).

The total DFT energy (no corrections) is -4.332 eV/atom. As for the formation energy without anion corrections: -23.7 eV per formula unit.


Which formula does entry 2 have? Cs4Ac3NdTe8